{"formula": "HfMg3C", "functional": "PBE", "state": "relaxed", "m_tot_mub_per_fu": 0.00, "ef_ev_per_fu": 3.0, "relative_energy_ev_per_atom": 0.0000, "cell": [[4.484, 0.000, 0.000], [0.000, 4.484, 0.000], [0.000, 0.000, 4.484]], "species": ["Hf", "Mg", "Mg", "Mg", "C"], "fractional_positions": [[0.000, 0.000, 0.000], [0.000, 0.500, 0.500], [0.500, 0.000, 0.500], [0.500, 0.500, 0.000], [0.500, 0.500, 0.500]]}


{"formula": "Co5Te", "functional": "PBE", "state": "relaxed", "m_tot_mub_per_fu": 7.22, "relative_energy_ev_per_atom": 0.1523, "cell": [[4.036, 0.000, 0.000], [0.000, 1.448, 6.567], [0.000, -1.448, 6.567]], "species": ["Co", "Co", "Co", "Co", "Co", "Te"], "fractional_positions": [[0.000, 0.000, 0.000], [0.000, 0.312, 0.312], [0.000, 0.654, 0.654], [0.500, 0.191, 0.191], [0.500, 0.546, 0.546], [0.500, 0.869, 0.869]]}


{"formula": "Tb2CuOs", "functional": "PBE", "state": "relaxed", "m_tot_mub_per_fu": 0.00, "ef_ev_per_fu": -0.9, "cell": [[3.423, 0.000, 0.000], [0.000, 3.423, 0.000], [0.000, 0.000, 7.105]], "species": ["Tb", "Tb", "Cu", "Os"], "fractional_positions": [[0.000, 0.000, 0.238], [0.000, 0.000, 0.762], [0.500, 0.500, 0.500], [0.500, 0.500, 0.000]]}


{"formula": "CeHoGa2", "functional": "PBE", "state": "relaxed", "m_tot_mub_per_fu": 0.90, "ef_ev_per_fu": -2.2, "cell": [[4.089, 0.000, 0.000], [0.000, 2.182, 5.488], [0.000, -2.182, 5.488]], "species": ["Ce", "Ho", "Ga", "Ga"], "fractional_positions": [[0.000, 0.000, 0.000], [0.500, 0.281, 0.281], [0.000, 0.719, 0.719], [0.500, 0.570, 0.570]]}